# Os3C5 (GGA-PBE, optimized geometry)
data_Os3C5
_symmetry_space_group_name_H-M 'P 1'
_symmetry_Int_Tables_number 1
_symmetry_space_group_name_Hall 'P 1'
_cell_length_a 2.8043
_cell_length_b 2.8043
_cell_length_c 9.2999
_cell_angle_alpha 90.00
_cell_angle_beta 90.00
_cell_angle_gamma 90.00
loop_
_atom_site_label
_atom_site_type_symbol
_atom_site_fract_x
_atom_site_fract_y
_atom_site_fract_z
Os1 Os 0.5000 0.5000 0.1605
C1 C 0.5000 0.5000 0.6144
C2 C 0.0000 0.0000 0.7481
Os2 Os 0.0000 0.0000 0.5000
C3 C 0.0000 0.0000 0.2519
Os3 Os 0.5000 0.5000 0.8395
C4 C 0.0000 0.0000 0.0000
C5 C 0.5000 0.5000 0.3856
# DOS at the Fermi energy = 0.312 states/eV/atom
# Crystal system = tetragonal
# Spin magnetization = 0.000 μB per atom
# ΔE to the lowest computed polymorph = 468 meV per atom

---

# LaErNiPt (GGA-PBE, optimized geometry)
data_LaErNiPt
_symmetry_space_group_name_H-M 'P 1'
_symmetry_Int_Tables_number 1
_symmetry_space_group_name_Hall 'P 1'
_cell_length_a 4.9832
_cell_length_b 4.9832
_cell_length_c 4.9832
_cell_angle_alpha 60.00
_cell_angle_beta 60.00
_cell_angle_gamma 60.00
loop_
_atom_site_label
_atom_site_type_symbol
_atom_site_fract_x
_atom_site_fract_y
_atom_site_fract_z
Er1 Er 0.5000 0.5000 0.5000
Pt1 Pt 0.7500 0.7500 0.7500
La1 La 0.0000 0.0000 0.0000
Ni1 Ni 0.2500 0.2500 0.2500
# DOS at the Fermi energy = 0.961 states/eV/atom
# Total energy = -6.042 eV per atom
# Crystal system = cubic
# Spin magnetization = 0.000 μB per atom

---

# LaCd11Cu (GGA-PBE, optimized geometry)
data_LaCd11Cu
_symmetry_space_group_name_H-M 'P 1'
_symmetry_Int_Tables_number 1
_symmetry_space_group_name_Hall 'P 1'
_cell_length_a 5.8450
_cell_length_b 7.6057
_cell_length_c 7.6483
_cell_angle_alpha 81.86
_cell_angle_beta 67.54
_cell_angle_gamma 68.26
loop_
_atom_site_label
_atom_site_type_symbol
_atom_site_fract_x
_atom_site_fract_y
_atom_site_fract_z
La1 La 0.0000 0.0000 0.0000
Cd1 Cd 0.9822 0.3583 0.6560
Cu1 Cu 0.5000 0.5000 0.0000
Cd2 Cd 0.5082 0.2210 0.7901
Cd3 Cd 0.6382 0.3583 0.3440
Cd4 Cd 0.0178 0.6417 0.3440
Cd5 Cd 0.7017 0.7790 0.7901
Cd6 Cd 0.0000 0.0000 0.5000
Cd7 Cd 0.3618 0.6417 0.6560
Cd8 Cd 0.2983 0.2210 0.2099
Cd9 Cd 0.5000 0.0000 0.5000
Cd10 Cd 0.0000 0.5000 0.0000
Cd11 Cd 0.4918 0.7790 0.2099
# DOS at the Fermi energy = 0.447 states/eV/atom
# Total energy = -1.595 eV per atom
# Crystal system = monoclinic
# Spin magnetization = 0.000 μB per atom

---

# YTcP2Cl (GGA-PBE, optimized geometry)
data_YTcP2Cl
_symmetry_space_group_name_H-M 'P 1'
_symmetry_Int_Tables_number 1
_symmetry_space_group_name_Hall 'P 1'
_cell_length_a 4.5891
_cell_length_b 4.5891
_cell_length_c 4.9362
_cell_angle_alpha 90.00
_cell_angle_beta 90.00
_cell_angle_gamma 90.00
loop_
_atom_site_label
_atom_site_type_symbol
_atom_site_fract_x
_atom_site_fract_y
_atom_site_fract_z
P1 P 0.0000 0.5000 0.0000
Cl1 Cl 0.0000 0.0000 0.5000
P2 P 0.5000 0.0000 0.0000
Tc1 Tc 0.0000 0.0000 0.0000
Y1 Y 0.5000 0.5000 0.5000
# DOS at the Fermi energy = 0.878 states/eV/atom
# Formation energy without anion corrections = -114 kJ/mol of formula units
# Crystal system = tetragonal
# Spin magnetization = 0.000 μB per atom
# ΔE to the lowest computed polymorph = 0 meV per atom

---

# Al3Pb (GGA-PBE, optimized geometry)
data_Al3Pb
_symmetry_space_group_name_H-M 'P 1'
_symmetry_Int_Tables_number 1
_symmetry_space_group_name_Hall 'P 1'
_cell_length_a 4.6819
_cell_length_b 4.6819
_cell_length_c 6.3981
_cell_angle_alpha 82.00
_cell_angle_beta 82.00
_cell_angle_gamma 39.06
loop_
_atom_site_label
_atom_site_type_symbol
_atom_site_fract_x
_atom_site_fract_y
_atom_site_fract_z
Al1 Al 0.5000 0.5000 0.5000
Al2 Al 0.2399 0.2399 0.3110
Pb1 Pb 0.0000 0.0000 0.0000
Al3 Al 0.7601 0.7601 0.6890
# DOS at the Fermi energy = 0.352 states/eV/atom
# Total energy = -3.527 eV per atom
# Crystal system = monoclinic
# Spin magnetization = 0.000 μB per atom

---

# TbGdH2 (GGA-PBE, optimized geometry)
data_TbGdH2
_symmetry_space_group_name_H-M 'P 1'
_symmetry_Int_Tables_number 1
_symmetry_space_group_name_Hall 'P 1'
_cell_length_a 3.5092
_cell_length_b 3.5092
_cell_length_c 6.0613
_cell_angle_alpha 73.17
_cell_angle_beta 73.17
_cell_angle_gamma 60.00
loop_
_atom_site_label
_atom_site_type_symbol
_atom_site_fract_x
_atom_site_fract_y
_atom_site_fract_z
Gd1 Gd 0.5000 0.5000 0.5000
Tb1 Tb 0.0000 0.0000 0.0000
H1 H 0.7486 0.7486 0.7541
H2 H 0.2514 0.2514 0.2459
# DOS at the Fermi energy = 0.533 states/eV/atom
# Total energy = -6.741 eV per atom
# Crystal system = trigonal
# Spin magnetization = 1.806 μB per atom

---

# NaLa2N (GGA-PBE, optimized geometry)
data_NaLa2N
_symmetry_space_group_name_H-M 'P 1'
_symmetry_Int_Tables_number 1
_symmetry_space_group_name_Hall 'P 1'
_cell_length_a 3.2341
_cell_length_b 3.2341
_cell_length_c 9.7391
_cell_angle_alpha 90.00
_cell_angle_beta 90.00
_cell_angle_gamma 90.00
loop_
_atom_site_label
_atom_site_type_symbol
_atom_site_fract_x
_atom_site_fract_y
_atom_site_fract_z
N1 N 0.5000 0.5000 0.7500
La1 La 0.0000 0.0000 0.9032
La2 La 0.0000 0.0000 0.5968
Na1 Na 0.5000 0.5000 0.2500
# DOS at the Fermi energy = 0.960 states/eV/atom
# Formation energy without anion corrections = -86 kJ/mol of formula units
# Crystal system = tetragonal
# Spin magnetization = 0.241 μB per atom

---

# TiTcGePd2 (GGA-PBE, optimized geometry)
data_TiTcGePd2
_symmetry_space_group_name_H-M 'P 1'
_symmetry_Int_Tables_number 1
_symmetry_space_group_name_Hall 'P 1'
_cell_length_a 4.7131
_cell_length_b 4.4568
_cell_length_c 4.7131
_cell_angle_alpha 90.00
_cell_angle_beta 90.00
_cell_angle_gamma 90.00
loop_
_atom_site_label
_atom_site_type_symbol
_atom_site_fract_x
_atom_site_fract_y
_atom_site_fract_z
Pd1 Pd 0.5000 0.0000 0.0000
Tc1 Tc 0.0000 0.5000 0.0000
Pd2 Pd 0.0000 0.0000 0.5000
Ge1 Ge 0.5000 0.5000 0.5000
Ti1 Ti 0.0000 0.0000 0.0000
# DOS at the Fermi energy = 0.841 states/eV/atom
# Total energy = -5.853 eV per atom
# Crystal system = tetragonal
# Spin magnetization = 0.000 μB per atom

---

# Ca2TlHg (GGA-PBE, optimized geometry)
data_Ca2TlHg
_symmetry_space_group_name_H-M 'P 1'
_symmetry_Int_Tables_number 1
_symmetry_space_group_name_Hall 'P 1'
_cell_length_a 5.4316
_cell_length_b 5.4316
_cell_length_c 5.4316
_cell_angle_alpha 60.00
_cell_angle_beta 60.00
_cell_angle_gamma 60.00
loop_
_atom_site_label
_atom_site_type_symbol
_atom_site_fract_x
_atom_site_fract_y
_atom_site_fract_z
Tl1 Tl 0.7500 0.7500 0.7500
Ca1 Ca 0.0000 0.0000 0.0000
Ca2 Ca 0.5000 0.5000 0.5000
Hg1 Hg 0.2500 0.2500 0.2500
# DOS at the Fermi energy = 0.698 states/eV/atom
# Total energy = -2.171 eV per atom
# Crystal system = cubic
# Spin magnetization = 0.000 μB per atom

---

# NaAcMgTe3 (GGA-PBE, optimized geometry)
data_NaAcMgTe3
_symmetry_space_group_name_H-M 'P 1'
_symmetry_Int_Tables_number 1
_symmetry_space_group_name_Hall 'P 1'
_cell_length_a 4.5973
_cell_length_b 8.6478
_cell_length_c 10.5689
_cell_angle_alpha 107.12
_cell_angle_beta 90.00
_cell_angle_gamma 90.00
loop_
_atom_site_label
_atom_site_type_symbol
_atom_site_fract_x
_atom_site_fract_y
_atom_site_fract_z
Mg1 Mg 0.2500 0.1659 0.6365
Te1 Te 0.7500 0.9103 0.1143
Na1 Na 0.2500 0.6492 0.0966
Na2 Na 0.7500 0.3508 0.9034
Te2 Te 0.7500 0.4747 0.2100
Ac1 Ac 0.7500 0.7927 0.7652
Te3 Te 0.2500 0.5253 0.7900
Te4 Te 0.2500 0.0897 0.8857
Te5 Te 0.7500 0.1974 0.4827
Te6 Te 0.2500 0.8026 0.5173
Mg2 Mg 0.7500 0.8341 0.3635
Ac2 Ac 0.2500 0.2073 0.2348
# Formation energy without anion corrections = -662 kJ/mol of formula units
# Crystal system = monoclinic
# Spin magnetization = 0.000 μB per atom

---

# KCaZn (GGA-PBE, optimized geometry)
data_KCaZn
_symmetry_space_group_name_H-M 'P 1'
_symmetry_Int_Tables_number 1
_symmetry_space_group_name_Hall 'P 1'
_cell_length_a 5.6454
_cell_length_b 5.6454
_cell_length_c 5.6454
_cell_angle_alpha 60.00
_cell_angle_beta 60.00
_cell_angle_gamma 60.00
loop_
_atom_site_label
_atom_site_type_symbol
_atom_site_fract_x
_atom_site_fract_y
_atom_site_fract_z
Ca1 Ca 0.5000 0.5000 0.5000
K1 K 0.7500 0.7500 0.7500
Zn1 Zn 0.0000 0.0000 0.0000
# DOS at the Fermi energy = 0.867 states/eV/atom
# Total energy = -0.896 eV per atom
# Crystal system = cubic
# Spin magnetization = 0.000 μB per atom

---

# Pr6NdSm3Dy2 (GGA-PBE, optimized geometry)
data_Pr6NdSm3Dy2
_symmetry_space_group_name_H-M 'P 1'
_symmetry_Int_Tables_number 1
_symmetry_space_group_name_Hall 'P 1'
_cell_length_a 6.3582
_cell_length_b 6.3582
_cell_length_c 12.0770
_cell_angle_alpha 95.03
_cell_angle_beta 95.03
_cell_angle_gamma 120.01
loop_
_atom_site_label
_atom_site_type_symbol
_atom_site_fract_x
_atom_site_fract_y
_atom_site_fract_z
Dy1 Dy 0.3335 0.6665 0.0000
Sm1 Sm 0.1668 0.8332 0.5000
Sm2 Sm 0.5000 0.5000 0.5000
Pr1 Pr 0.0835 0.4176 0.2490
Dy2 Dy 0.6665 0.3335 0.0000
Pr2 Pr 0.5824 0.9165 0.7510
Pr3 Pr 0.9165 0.5824 0.7510
Pr4 Pr 0.7494 0.7494 0.2489
Pr5 Pr 0.4176 0.0835 0.2490
Sm3 Sm 0.8332 0.1668 0.5000
Nd1 Nd 0.0000 0.0000 0.0000
Pr6 Pr 0.2506 0.2506 0.7511
# DOS at the Fermi energy = 1.351 states/eV/atom
# Total energy = -4.722 eV per atom
# Crystal system = monoclinic
# Spin magnetization = 0.000 μB per atom

---

# Hf4ReRu2 (GGA-PBE, optimized geometry)
data_Hf4ReRu2
_symmetry_space_group_name_H-M 'P 1'
_symmetry_Int_Tables_number 1
_symmetry_space_group_name_Hall 'P 1'
_cell_length_a 5.5927
_cell_length_b 5.5927
_cell_length_c 5.5927
_cell_angle_alpha 109.85
_cell_angle_beta 109.28
_cell_angle_gamma 109.28
loop_
_atom_site_label
_atom_site_type_symbol
_atom_site_fract_x
_atom_site_fract_y
_atom_site_fract_z
Ru1 Ru 0.5000 0.0000 0.5000
Re1 Re 0.0000 0.0000 0.0000
Hf1 Hf 0.5000 0.0000 0.0000
Hf2 Hf 0.5000 0.5000 0.5000
Hf3 Hf 0.0000 0.5000 0.0000
Ru2 Ru 0.5000 0.5000 0.0000
Hf4 Hf 0.0000 0.0000 0.5000
# DOS at the Fermi energy = 0.709 states/eV/atom
# Total energy = -10.532 eV per atom
# Crystal system = tetragonal
# Spin magnetization = 0.000 μB per atom

---

# Zr4CdTc (GGA-PBE, optimized geometry)
data_Zr4CdTc
_symmetry_space_group_name_H-M 'P 1'
_symmetry_Int_Tables_number 1
_symmetry_space_group_name_Hall 'P 1'
_cell_length_a 5.6551
_cell_length_b 5.6551
_cell_length_c 5.6551
_cell_angle_alpha 60.00
_cell_angle_beta 60.00
_cell_angle_gamma 60.00
loop_
_atom_site_label
_atom_site_type_symbol
_atom_site_fract_x
_atom_site_fract_y
_atom_site_fract_z
Zr1 Zr 0.3730 0.3730 0.8811
Zr2 Zr 0.3730 0.8811 0.3730
Zr3 Zr 0.8811 0.3730 0.3730
Cd1 Cd 0.7500 0.7500 0.7500
Zr4 Zr 0.3730 0.3730 0.3730
Tc1 Tc 0.0000 0.0000 0.0000
# DOS at the Fermi energy = 1.175 states/eV/atom
# Crystal system = cubic
# Spin magnetization = 0.000 μB per atom
# ΔE to the lowest computed polymorph = 666 meV per atom

---

# ZrBe4Co (GGA-PBE, optimized geometry)
data_ZrBe4Co
_symmetry_space_group_name_H-M 'P 1'
_symmetry_Int_Tables_number 1
_symmetry_space_group_name_Hall 'P 1'
_cell_length_a 4.4864
_cell_length_b 4.4864
_cell_length_c 4.4864
_cell_angle_alpha 60.00
_cell_angle_beta 60.00
_cell_angle_gamma 60.00
loop_
_atom_site_label
_atom_site_type_symbol
_atom_site_fract_x
_atom_site_fract_y
_atom_site_fract_z
Be1 Be 0.3761 0.3761 0.8717
Be2 Be 0.3761 0.8717 0.3761
Be3 Be 0.3761 0.3761 0.3761
Zr1 Zr 0.0000 0.0000 0.0000
Be4 Be 0.8717 0.3761 0.3761
Co1 Co 0.7500 0.7500 0.7500
# DOS at the Fermi energy = 0.910 states/eV/atom
# Total energy = -5.277 eV per atom
# Crystal system = cubic
# Spin magnetization = 0.141 μB per atom

---

# Pu2PaSb (GGA-PBE, optimized geometry)
data_Pu2PaSb
_symmetry_space_group_name_H-M 'P 1'
_symmetry_Int_Tables_number 1
_symmetry_space_group_name_Hall 'P 1'
_cell_length_a 4.6034
_cell_length_b 4.6325
_cell_length_c 4.6325
_cell_angle_alpha 90.00
_cell_angle_beta 90.00
_cell_angle_gamma 90.00
loop_
_atom_site_label
_atom_site_type_symbol
_atom_site_fract_x
_atom_site_fract_y
_atom_site_fract_z
Sb1 Sb 0.5000 0.0000 0.0000
Pu1 Pu 0.0000 0.5000 0.0000
Pa1 Pa 0.5000 0.5000 0.5000
Pu2 Pu 0.0000 0.0000 0.5000
# DOS at the Fermi energy = 2.624 states/eV/atom
# Formation energy without anion corrections = -117 kJ/mol of formula units
# Crystal system = tetragonal
# Spin magnetization = 2.859 μB per atom
# ΔE to the lowest computed polymorph = 6 meV per atom

---

# Ag4PdPt (GGA-PBE, optimized geometry)
data_Ag4PdPt
_symmetry_space_group_name_H-M 'P 1'
_symmetry_Int_Tables_number 1
_symmetry_space_group_name_Hall 'P 1'
_cell_length_a 4.1555
_cell_length_b 2.8276
_cell_length_c 8.6665
_cell_angle_alpha 90.15
_cell_angle_beta 90.00
_cell_angle_gamma 90.02
loop_
_atom_site_label
_atom_site_type_symbol
_atom_site_fract_x
_atom_site_fract_y
_atom_site_fract_z
Ag1 Ag 0.0000 0.4993 0.6652
Ag2 Ag 0.5000 0.9991 0.8356
Pd1 Pd 0.0000 0.5000 0.0000
Pt1 Pt 0.5000 0.0000 0.5000
Ag3 Ag 0.0000 0.5007 0.3348
Ag4 Ag 0.5000 0.0009 0.1644
# DOS at the Fermi energy = 0.362 states/eV/atom
# Crystal system = monoclinic
# Spin magnetization = 0.000 μB per atom
# ΔE to the lowest computed polymorph = 0 meV per atom

---

# MgInCl2 (GGA-PBE, optimized geometry)
data_MgInCl2
_symmetry_space_group_name_H-M 'P 1'
_symmetry_Int_Tables_number 1
_symmetry_space_group_name_Hall 'P 1'
_cell_length_a 3.6680
_cell_length_b 3.6680
_cell_length_c 9.2455
_cell_angle_alpha 90.00
_cell_angle_beta 90.00
_cell_angle_gamma 118.61
loop_
_atom_site_label
_atom_site_type_symbol
_atom_site_fract_x
_atom_site_fract_y
_atom_site_fract_z
Cl1 Cl 0.5000 0.5000 0.3082
Cl2 Cl 0.0000 0.0000 0.9209
In1 In 0.0000 0.0000 0.5113
Mg1 Mg 0.5000 0.5000 0.7596
# DOS at the Fermi energy = 0.042 states/eV/atom
# Formation energy without anion corrections = -333 kJ/mol of formula units
# Crystal system = orthorhombic
# Spin magnetization = 0.000 μB per atom
# ΔE to the lowest computed polymorph = 368 meV per atom

---

# LiTi2H (GGA-PBE, optimized geometry)
data_LiTi2H
_symmetry_space_group_name_H-M 'P 1'
_symmetry_Int_Tables_number 1
_symmetry_space_group_name_Hall 'P 1'
_cell_length_a 4.1460
_cell_length_b 4.1460
_cell_length_c 4.1460
_cell_angle_alpha 60.00
_cell_angle_beta 60.00
_cell_angle_gamma 60.00
loop_
_atom_site_label
_atom_site_type_symbol
_atom_site_fract_x
_atom_site_fract_y
_atom_site_fract_z
Ti1 Ti 0.2500 0.2500 0.2500
Li1 Li 0.5000 0.5000 0.5000
H1 H 0.0000 0.0000 0.0000
Ti2 Ti 0.7500 0.7500 0.7500
# DOS at the Fermi energy = 0.988 states/eV/atom
# Crystal system = cubic
# Spin magnetization = 0.000 μB per atom
# ΔE to the lowest computed polymorph = 547 meV per atom

---

# ZrCu2Sb (GGA-PBE, optimized geometry)
data_ZrCu2Sb
_symmetry_space_group_name_H-M 'P 1'
_symmetry_Int_Tables_number 1
_symmetry_space_group_name_Hall 'P 1'
_cell_length_a 4.3090
_cell_length_b 3.1228
_cell_length_c 5.4097
_cell_angle_alpha 90.11
_cell_angle_beta 90.00
_cell_angle_gamma 90.00
loop_
_atom_site_label
_atom_site_type_symbol
_atom_site_fract_x
_atom_site_fract_y
_atom_site_fract_z
Cu1 Cu 0.0000 0.2498 0.9730
Zr1 Zr 0.5000 0.7500 0.7500
Sb1 Sb 0.5000 0.2500 0.2500
Cu2 Cu 0.0000 0.2502 0.5270
# DOS at the Fermi energy = 0.521 states/eV/atom
# Formation energy without anion corrections = -58 kJ/mol of formula units
# Crystal system = monoclinic
# Spin magnetization = 0.000 μB per atom